Below is an optimized crystal structure of NiPOs, with properties calculated at the PBE level.

Energy: -7.672 eV/atom
Energy of formation from the pure elements: -198 meV/atom

abc: 4.678 2.828 6.172
angles: 90.00 109.06 90.00
Atoms (fractional coordinates):
Ni 0.155 0.250 0.894
Ni 0.845 0.750 0.106
P 0.636 0.250 0.802
P 0.364 0.750 0.198
Os 0.731 0.250 0.449
Os 0.269 0.750 0.551